(1)
A PBEsol-optimized structure of MgP2Pb, computed with meta-GGA SCAN.

a = 3.911 Å, b = 3.911 Å, c = 10.646 Å
α = 90.00°, β = 90.00°, γ = 90.00°
Atoms (fractional coordinates):
Mg 0.000 0.000 0.000
Mg 0.500 0.500 0.500
P 0.000 0.000 0.500
P 0.000 0.500 0.250
P 0.500 0.000 0.750
P 0.500 0.500 0.000
Pb 0.000 0.500 0.750
Pb 0.500 0.000 0.250

Values from the calculation:
The space group is I-4m2 (119). The value obtained for the total energy is -200.93 eV per cell. The total moment comes out at 0.000 Bohr magnetons per cell.



(2)
A PBEsol-optimized structure of ZnPN3, computed with meta-GGA SCAN.

a = 3.807 Å, b = 3.807 Å, c = 3.807 Å
α = 90.00°, β = 90.00°, γ = 90.00°
Atoms (fractional coordinates):
Zn 0.000 0.000 0.000
P 0.500 0.500 0.500
N 0.000 0.000 0.500
N 0.000 0.500 0.000
N 0.500 0.000 0.000

Values from the calculation:
The calculation puts the formation energy from raw total energies at 2265 meV/atom. The space group is Pm-3m (221). The total moment comes out at 3.255 Bohr magnetons per cell.



(3)
A PBEsol-optimized structure of ZnCrGe2O6, computed with meta-GGA SCAN.

a = 5.127 Å, b = 6.481 Å, c = 6.677 Å
α = 83.62°, β = 83.15°, γ = 79.10°
Atoms (fractional coordinates):
Zn 0.233 0.308 0.227
Zn 0.767 0.692 0.773
Cr 0.254 0.906 0.586
Cr 0.746 0.094 0.414
Ge 0.155 0.849 0.072
Ge 0.325 0.386 0.721
Ge 0.675 0.614 0.279
Ge 0.845 0.151 0.928
O 0.115 0.982 0.317
O 0.118 0.310 0.937
O 0.147 0.628 0.626
O 0.360 0.602 0.200
O 0.372 0.197 0.537
O 0.399 0.848 0.847
O 0.601 0.152 0.153
O 0.628 0.803 0.463
O 0.640 0.398 0.800
O 0.853 0.372 0.374
O 0.882 0.690 0.063
O 0.885 0.018 0.683

Values from the calculation:
The calculation puts the formation energy from raw total energies at -1844 meV/atom. The space group is P-1 (2). The energy above the most stable polymorph in this dataset is 0 meV per atom. The total moment comes out at 5.988 Bohr magnetons per cell.



What did the second record say?
A PBEsol-optimized structure of ZnPN3, computed with meta-GGA SCAN.

a = 3.807 Å, b = 3.807 Å, c = 3.807 Å
α = 90.00°, β = 90.00°, γ = 90.00°
Atoms (fractional coordinates):
Zn 0.000 0.000 0.000
P 0.500 0.500 0.500
N 0.000 0.000 0.500
N 0.000 0.500 0.000
N 0.500 0.000 0.000

Values from the calculation:
The calculation puts the formation energy from raw total energies at 2265 meV/atom. The space group is Pm-3m (221). The total moment comes out at 3.255 Bohr magnetons per cell.



Question: Which value of total moment does entry 2 give?
Answer: 3.255 Bohr magnetons per cell



Question: Which value of total moment does entry 3 give?
Answer: 5.988 Bohr magnetons per cell



What did the second record say?
A PBEsol-optimized structure of ZnPN3, computed with meta-GGA SCAN.

a = 3.807 Å, b = 3.807 Å, c = 3.807 Å
α = 90.00°, β = 90.00°, γ = 90.00°
Atoms (fractional coordinates):
Zn 0.000 0.000 0.000
P 0.500 0.500 0.500
N 0.000 0.000 0.500
N 0.000 0.500 0.000
N 0.500 0.000 0.000

Values from the calculation:
The calculation puts the formation energy from raw total energies at 2265 meV/atom. The space group is Pm-3m (221). The total moment comes out at 3.255 Bohr magnetons per cell.